Entry 1:
Computed, not measured: an optimized crystal structure of Ba2Zn2Rh at the PBE level of DFT.

```
Ba2Zn2Rh
1.0
3.776 0.000 0.000
0.000 3.776 0.000
1.888 1.888 10.080
Zn Rh Ba
2 1 2
Direct
0.750 0.250 0.500
0.250 0.750 0.500
0.000 0.000 0.000
0.408 0.408 0.183
0.592 0.592 0.817
```

Values from the calculation:
Volume: 28.738 Å³/atom
Magnetic moment: 0.0 Bohr magnetons per cell
N(E_F): 3.4 states/eV/cell
Crystal system: tetragonal
Energy relative to the elements: -0.02 eV/atom
Energy relative to the lowest polymorph listed for this composition: 252.3 meV/atom



Entry 2:
Computed, not measured: an optimized crystal structure of Ba2ZnRh at the PBE level of DFT.

```
Ba2ZnRh
1.0
4.604 0.000 0.000
0.000 4.683 0.001
0.000 2.345 6.116
Zn Rh Ba
1 1 2
Direct
0.500 0.574 0.726
0.000 0.669 0.537
0.000 0.990 0.895
0.500 0.267 0.341
```

Values from the calculation:
Volume: 32.966 Å³/atom
Magnetic moment: 0.0 Bohr magnetons per cell
N(E_F): 3.1 states/eV/cell
Crystal system: orthorhombic
Energy relative to the elements: -0.25 eV/atom



Entry 3:
Computed, not measured: an optimized crystal structure of Ba6Zn2Rh at the PBE level of DFT.

```
Ba6Zn2Rh
1.0
7.903 0.000 -0.033
0.000 8.895 0.000
0.328 0.000 11.692
Ba Zn Rh
12 4 2
Direct
0.135 0.033 0.255
0.160 0.305 0.565
0.180 0.331 0.938
0.320 0.831 0.562
0.340 0.805 0.935
0.365 0.533 0.245
0.865 0.967 0.745
0.840 0.695 0.435
0.820 0.669 0.062
0.680 0.169 0.438
0.660 0.195 0.065
0.635 0.467 0.755
0.051 0.615 0.752
0.449 0.115 0.748
0.551 0.885 0.252
0.949 0.385 0.248
0.500 0.500 0.000
0.000 0.000 0.500
```

Values from the calculation:
Volume: 45.669 Å³/atom
Magnetic moment: 0.0 Bohr magnetons per cell
N(E_F): 17.6 states/eV/cell
Crystal system: monoclinic
Energy relative to the elements: -0.14 eV/atom